Entry 1:
Density functional theory data (PBE) for a relaxed HfTaBi crystal.

```
HfTaBi
1.0
3.703 0.000 0.000
0.000 3.703 0.000
0.000 0.000 9.535
Hf Bi Ta
2 2 2
Direct
0.000 0.500 0.584
0.500 0.000 0.416
0.500 0.000 0.752
0.000 0.500 0.248
0.000 0.500 0.931
0.500 0.000 0.069
```

formation energy from the elements: 0.15 eV per atom


Entry 2:
Density functional theory data (PBE) for a relaxed Hf3TaBi crystal.

```
Hf3TaBi
1.0
5.225 0.000 0.000
0.000 5.225 0.000
0.000 0.000 5.225
Hf Bi Ta
3 1 1
Direct
0.000 0.500 0.000
0.000 0.000 0.500
0.500 0.000 0.000
0.000 0.000 0.000
0.500 0.500 0.500
```

energy relative to the lowest polymorph listed for this composition: 0.736 eV/atom
formation energy from the elements: 1.66 eV per atom


Entry 3:
Density functional theory data (PBE) for a relaxed Hf2TaBi crystal.

```
Hf2TaBi
1.0
3.818 0.000 0.000
0.000 4.741 0.000
0.000 0.000 4.741
Hf Bi Ta
2 1 1
Direct
0.000 0.000 0.500
0.000 0.500 0.000
0.500 0.500 0.500
0.500 0.000 0.000
```

formation energy from the elements: 0.05 eV per atom